Here is a relaxed Na2NiI4 crystal from Alexandria. Energies are from PBE-GGA.

Cell and atoms, written as POSCAR:
```
Na2NiI4
1.0
-4.3749 -3.3513 -0.2515
3.2000 -4.0278 -1.9927
2.0513 1.2289 8.4464
I Ni Na
4 1 2
Cartesian
0.3864 -5.3266 3.7505 I
0.4900 -0.8237 2.4517 I
1.6000 -2.0139 -0.9964 I
-2.1874 -1.6756 -0.1257 I
0.0000 0.0000 0.0000 Ni
-0.2101 -4.3238 0.7659 Na
1.0865 -1.8264 5.4363 Na
```

Output
Raw formation energy = -0.61 eV/atom
Electronic total energy = -2.70 eV/atom
Mass density = 4.25 g/cm3
Size of the total moment = 0.0 μB per cell
SG = No. 139